This record from the Alexandria database describes a geometry-optimized Cs5Rb2Hg4 structure. The functional is PBE.

Computed properties:
formation energy	-148	meV/atom
volume	727.5	Å³/f.u.

Lattice parameters (Å, degrees): 28.9135 5.4294 9.8534 90.00 109.84 90.00
With the nearest neighbours (Å) after each atom.
Space group C2/m (No. 12)
Inequivalent atoms, fractional coordinates:
Cs 0.0000 0.0000 0.0000 (multiplicity 2)  4 Hg 4.31
Cs 0.1719 0.5000 0.4059 (multiplicity 4)  3 Hg 3.92-3.93
Cs 0.1720 0.5000 0.9388 (multiplicity 4)  3 Hg 3.91-3.93
Rb 0.0754 0.0000 0.5762 (multiplicity 4)  5 Hg 3.70-3.75, 1 Rb 4.10
Hg 0.0003 0.5000 0.3398 (multiplicity 4)  1 Hg 3.16
Hg 0.2116 0.0000 0.7119 (multiplicity 4)  1 Rb 3.70, 6 Cs 3.91-3.93

This record from the Alexandria database describes a geometry-optimized Cs2RbHg10 structure. The functional is PBE.

Computed properties:
formation energy	-161	meV/atom
volume	559.8	Å³/f.u.

Lattice parameters (Å, degrees): 7.9330 20.8698 6.7622 90.00 90.00 90.00
With the nearest neighbours (Å) after each atom.
Space group Pbam (No. 55)
Inequivalent atoms, fractional coordinates:
Cs 0.0646 0.1516 0.0000 (multiplicity 4)  10 Hg 3.74-4.18
Rb 0.0000 0.5000 0.5000 (multiplicity 2)  8 Hg 3.53-3.93
Hg 0.0806 0.9327 0.5000 (multiplicity 4)  3 Hg 3.09-3.17
Hg 0.0927 0.7808 0.5000 (multiplicity 4)  7 Hg 3.08-3.39
Hg 0.0948 0.3369 0.2321 (multiplicity 8)  4 Hg 3.14-3.39
Hg 0.2353 0.6437 0.5000 (multiplicity 4)  5 Hg 3.08-3.24

This record from the Alexandria database describes a geometry-optimized CsRb3Hg structure. The functional is PBE.

Computed properties:
formation energy	-89	meV/atom
volume	371.9	Å³/f.u.

Lattice parameters (Å, degrees): 7.7165 9.7860 9.9650 90.00 98.69 90.00
With the nearest neighbours (Å) after each atom.
Space group P2_1/m (No. 11)
Inequivalent atoms, fractional coordinates:
Cs 0.0342 0.2500 0.0928 (multiplicity 2)  1 Hg 3.95
Rb 0.1016 0.7500 0.4269 (multiplicity 2)  1 Hg 3.78
Rb 0.4485 0.0134 0.7505 (multiplicity 4)  2 Hg 3.78-3.79
Hg 0.3381 0.2500 0.4492 (multiplicity 2)  5 Rb 3.78-3.79, 1 Cs 3.95

This record from the Alexandria database describes a geometry-optimized CsRb2Hg4 structure. The functional is PBE.

Computed properties:
formation energy	-223	meV/atom
volume	302.7	Å³/f.u.

Lattice parameters (Å, degrees): 21.1086 7.2298 8.0927 90.00 101.37 90.00
With the nearest neighbours (Å) after each atom.
Space group C2/c (No. 15)
Inequivalent atoms, fractional coordinates:
Cs 0.0000 0.2269 0.2500 (multiplicity 4)  8 Hg 3.84-4.18
Rb 0.1929 0.0795 0.1540 (multiplicity 8)  7 Hg 3.74-4.03
Hg 0.0761 0.2752 0.7658 (multiplicity 8)  3 Hg 3.13-3.17
Hg 0.1564 0.4344 0.5070 (multiplicity 8)  2 Hg 3.13-3.16

This record from the Alexandria database describes a geometry-optimized Cs6Rb9Hg structure. The functional is PBE.

Computed properties:
formation energy	-23	meV/atom
volume	1482.0	Å³/f.u.

Lattice parameters (Å, degrees): 11.6033 11.6033 22.0141 90.00 90.00 90.00
With the nearest neighbours (Å) after each atom.
Space group I4/m (No. 87)
Inequivalent atoms, fractional coordinates:
Cs 0.0000 0.0000 0.1731 (multiplicity 4)  1 Hg 3.81
Cs 0.1119 0.3080 0.0000 (multiplicity 8)  1 Hg 3.80
Rb 0.0000 0.0000 0.5000 (multiplicity 2)  4 Cs 5.02, 8 Rb 5.23
Rb 0.0997 0.3019 0.3313 (multiplicity 16)  5 Cs 5.07-5.28, 7 Rb 5.11-5.23
Hg 0.0000 0.0000 0.0000 (multiplicity 2)  6 Cs 3.80-3.81

This record from the Alexandria database describes a geometry-optimized CsRb3Hg structure. The functional is PBE.

Computed properties:
formation energy	-83	meV/atom
volume	393.0	Å³/f.u.

Lattice parameters (Å, degrees): 7.3247 7.3247 7.3247 90.00 90.00 90.00
With the nearest neighbours (Å) after each atom.
Space group Pm-3m (No. 221)
Inequivalent atoms, fractional coordinates:
Cs 0.0000 0.0000 0.0000 (multiplicity 1)  12 Rb 5.18
Rb 0.0000 0.5000 0.5000 (multiplicity 3)  2 Hg 3.66
Hg 0.5000 0.5000 0.5000 (multiplicity 1)  6 Rb 3.66

This record from the Alexandria database describes a geometry-optimized CsRb4Hg4 structure. The functional is PBE.

Computed properties:
formation energy	-169	meV/atom
volume	500.1	Å³/f.u.

Lattice parameters (Å, degrees): 8.8685 8.8685 12.7169 90.00 90.00 90.00
With the nearest neighbours (Å) after each atom.
Space group P4_2/nmc (No. 137, origin choice 2)
Inequivalent atoms, fractional coordinates:
Cs 0.2500 0.7500 0.2500 (multiplicity 2)  12 Rb 4.97-5.31, 12 Hg 4.97-5.52
Rb 0.0037 0.2500 0.0984 (multiplicity 8)  5 Hg 3.69-3.80
Hg 0.0833 0.2500 0.3830 (multiplicity 8)  1 Hg 2.96

This record from the Alexandria database describes a geometry-optimized Cs3RbHg structure. The functional is PBE.

Computed properties:
formation energy	-85	meV/atom
volume	439.5	Å³/f.u.

Lattice parameters (Å, degrees): 7.6031 7.6031 7.6031 90.00 90.00 90.00
With the nearest neighbours (Å) after each atom.
Space group Pm-3m (No. 221)
Inequivalent atoms, fractional coordinates:
Cs 0.0000 0.0000 0.5000 (multiplicity 3)  2 Hg 3.80
Rb 0.5000 0.5000 0.5000 (multiplicity 1)  12 Cs 5.38
Hg 0.0000 0.0000 0.0000 (multiplicity 1)  6 Cs 3.80

Number 1: energy -9.0 eV/f.u.. Number 2: energy -7.8 eV/f.u.. Number 3: energy -4.5 eV/f.u.. Number 4: energy -5.6 eV/f.u.. Number 5: energy -14.5 eV/f.u.. Number 6: energy -4.5 eV/f.u.. Number 7: energy -7.4 eV/f.u.. Number 8: energy -4.3 eV/f.u..